# AcLa2Pa

Crystalline AcLa2Pa at its relaxed geometry (PBE, Alexandria via LeMat-Bulk).

The value obtained for the formation energy from the elements is 443.8 meV per atom. The calculation puts the density of states at the Fermi level at 10.36 states/eV/cell. The value obtained for the total energy is -5.42 eV per atom.

Geometry as POSCAR:
```
AcLa2Pa
1.0
5.9513 0.0000 0.0000
2.9757 5.1540 0.0000
2.9757 1.7180 4.6037
Pa Ac La
1 1 2
direct
0.0000 0.0000 0.0000 Pa
0.5000 0.5000 0.5000 Ac
0.7725 0.7725 0.6824 La
0.2275 0.2275 0.3176 La
```

***

# KTeAsBr2

Crystalline KTeAsBr2 at its relaxed geometry (PBE, Alexandria via LeMat-Bulk).

The raw formation energy is 0.484 eV/atom. The calculation puts the density of states at the Fermi level at 5.48 states/eV/cell. The value obtained for the total energy is -1.96 eV per atom.

Geometry as POSCAR:
```
KTeAsBr2
1.0
-4.6759 2.4999 -2.4207
0.5613 -3.4597 -4.6571
-3.8208 -4.4159 2.8199
As Te K Br
1 1 1 2
direct
0.0000 0.0000 0.5000 As
0.5000 0.5000 0.5000 Te
0.0000 0.0000 0.0000 K
0.5000 0.0000 0.0000 Br
0.0000 0.5000 0.0000 Br
```

***

# KSbMo2

Crystalline KSbMo2 at its relaxed geometry (PBE, Alexandria via LeMat-Bulk).

The raw formation energy is 1.040 eV/atom. The calculation puts the density of states at the Fermi level at 7.69 states/eV/cell. The value obtained for the total energy is -5.68 eV per atom.

Geometry as POSCAR:
```
KSbMo2
1.0
10.6465 -0.0114 -0.0067
10.2012 3.0468 -0.0067
10.2012 1.4853 2.6602
Mo K Sb
2 1 1
direct
0.5150 0.5150 0.5150 Mo
0.9850 0.9850 0.9850 Mo
0.7500 0.7500 0.7500 K
0.2500 0.2500 0.2500 Sb
```

***

# LiAl2F2

Crystalline LiAl2F2 at its relaxed geometry (PBE, Alexandria via LeMat-Bulk).

The raw formation energy is -1.093 eV/atom. The calculation puts the density of states at the Fermi level at 2.23 states/eV/cell. The value obtained for the total energy is -3.72 eV per atom.

Geometry as POSCAR:
```
LiAl2F2
1.0
3.5502 0.0000 0.0000
0.0000 3.5502 0.0000
1.7751 1.7751 6.5725
Li F Al
1 2 2
direct
0.0000 0.0000 0.0000 Li
0.4007 0.4007 0.1986 F
0.5993 0.5993 0.8014 F
0.7500 0.2500 0.5000 Al
0.2500 0.7500 0.5000 Al
```

***

# KBa2ScFe

Crystalline KBa2ScFe at its relaxed geometry (PBE, Alexandria via LeMat-Bulk).

The value obtained for the formation energy from the elements is 1445.2 meV per atom. The calculation puts the density of states at the Fermi level at 8.64 states/eV/cell. The value obtained for the total energy is -2.50 eV per atom.

Geometry as POSCAR:
```
KBa2ScFe
1.0
-4.5494 -3.4592 2.7796
-0.6370 -2.3086 -3.9158
4.3491 -4.2668 1.8081
Ba Fe K Sc
2 1 1 1
direct
0.5000 0.0000 0.0000 Ba
0.0000 0.0000 0.5000 Ba
0.0000 0.5000 0.0000 Fe
0.0000 0.0000 0.0000 K
0.5000 0.5000 0.5000 Sc
```

***

# Li2PdRhN

Crystalline Li2PdRhN at its relaxed geometry (PBE, Alexandria via LeMat-Bulk).

The raw formation energy is -0.281 eV/atom. The calculation puts the density of states at the Fermi level at 1.55 states/eV/cell. The value obtained for the total energy is -5.22 eV per atom.

Geometry as POSCAR:
```
Li2PdRhN
1.0
-0.7208 -1.1037 -3.8579
4.0112 -0.3037 -0.6625
-0.0996 -3.6079 1.0508
Li Rh Pd N
2 1 1 1
direct
0.5000 0.0000 0.0000 Li
0.0000 0.5000 0.0000 Li
0.0000 0.0000 0.5000 Rh
0.5000 0.5000 0.5000 Pd
0.0000 0.0000 0.0000 N
```

***

Question: Among the records above, which one has the highest total energy?
Answer: KTeAsBr2

***

Question: Among the records above, which one has the highest total energy?
Answer: KTeAsBr2